The following is a GGA-PBE calculation of an optimized crystal structure of La8Sm6Pu, from Alexandria.

Output
The value obtained for the size of the total moment is 17.209 Bohr magnetons per cell. The formation energy comes out at 0.2420 eV per atom. The calculation puts the density of states at the Fermi level at 1.79 states/eV per atom.

The structure in CIF format:
```
data_La8Sm6Pu
_chemical_formula_sum 'La24 Sm18 Pu3'
_symmetry_space_group_name_H-M 'R -3'
_symmetry_Int_Tables_number 148
_symmetry_space_group_name_Hall '-R 3'
_cell_length_a 9.4394
_cell_length_b 9.4394
_cell_length_c 21.3436
_cell_angle_alpha 90.00
_cell_angle_beta 90.00
_cell_angle_gamma 120.00
loop_
_atom_site_label
_atom_site_type_symbol
_atom_site_fract_x
_atom_site_fract_y
_atom_site_fract_z
La1 La 0.0000 0.0000 0.2431
La2 La 0.0099 0.7126 0.1248
Sm1 Sm 0.0100 0.7211 0.6318
Pu1 Pu 0.0000 0.0000 0.0000
```